Model i:
! YTi2Zn2 (PBE, relaxed); values from VASP
! Magnetization (μB per atom): 0.1278
&SYSTEM
  ibrav = 0, nat = 5, ntyp = 3
/
ATOMIC_SPECIES
Y 88.91 Y.upf
Ti 47.87 Ti.upf
Zn 65.41 Zn.upf
CELL_PARAMETERS angstrom
-2.0994 2.0994 5.7009
2.0994 -2.0994 5.7009
2.0994 2.0994 -5.7009
ATOMIC_POSITIONS crystal
Y 0.0000 0.0000 0.0000
Ti 0.3867 0.3867 0.0000
Ti 0.6133 0.6133 0.0000
Zn 0.2500 0.7500 0.5000
Zn 0.7500 0.2500 0.5000

Model ii:
! YTi2Zn2 (PBE, relaxed); values from VASP
! Magnetization (μB per atom): 0.3901
&SYSTEM
  ibrav = 0, nat = 10, ntyp = 3
/
ATOMIC_SPECIES
Y 88.91 Y.upf
Ti 47.87 Ti.upf
Zn 65.41 Zn.upf
CELL_PARAMETERS angstrom
7.9668 0.0000 0.0000
0.0000 7.9668 0.0000
0.0000 0.0000 2.9380
ATOMIC_POSITIONS crystal
Y 0.0000 0.0000 0.0000
Y 0.5000 0.5000 0.0000
Ti 0.1135 0.3865 0.0000
Ti 0.3865 0.8865 0.0000
Ti 0.6135 0.1135 0.0000
Ti 0.8865 0.6135 0.0000
Zn 0.1798 0.6798 0.5000
Zn 0.3202 0.1798 0.5000
Zn 0.6798 0.8202 0.5000
Zn 0.8202 0.3202 0.5000

Which structure wins on stability? model ii wins.

Model i:
! YTiZn (PBE, relaxed); values from VASP
! Magnetization (μB per atom): 0.0001
&SYSTEM
  ibrav = 0, nat = 6, ntyp = 3
/
ATOMIC_SPECIES
Y 88.91 Y.upf
Ti 47.87 Ti.upf
Zn 65.41 Zn.upf
CELL_PARAMETERS angstrom
4.6288 -1.5600 0.0000
4.6288 1.5600 0.0000
-4.1906 0.0000 9.0634
ATOMIC_POSITIONS crystal
Y 0.0204 0.0204 0.2277
Y 0.9796 0.9796 0.7723
Ti 0.1686 0.1686 0.5642
Ti 0.8314 0.8314 0.4358
Zn 0.3283 0.3283 0.9325
Zn 0.6717 0.6717 0.0675

Model ii:
! YTiZn (PBE, relaxed); values from VASP
! Magnetization (μB per atom): 0.0000
&SYSTEM
  ibrav = 0, nat = 3, ntyp = 3
/
ATOMIC_SPECIES
Y 88.91 Y.upf
Ti 47.87 Ti.upf
Zn 65.41 Zn.upf
CELL_PARAMETERS angstrom
-1.6429 1.6429 5.7714
1.6429 -1.6429 5.7714
1.6429 1.6429 -5.7714
ATOMIC_POSITIONS crystal
Y 0.0000 0.0000 0.0000
Ti 0.3131 0.3131 0.0000
Zn 0.6862 0.6862 0.0000

Which structure wins on stability? model ii wins.

Model i:
! YZrTi2 (PBE, relaxed); values from VASP
! Magnetization (μB per atom): 0.4083
&SYSTEM
  ibrav = 0, nat = 8, ntyp = 3
/
ATOMIC_SPECIES
Y 88.91 Y.upf
Zr 91.22 Zr.upf
Ti 47.87 Ti.upf
CELL_PARAMETERS angstrom
-3.8512 3.8512 3.0303
3.8512 -3.8512 3.0303
3.8512 3.8512 -3.0303
ATOMIC_POSITIONS crystal
Y 0.0000 0.0000 0.0000
Y 0.7500 0.2500 0.5000
Zr 0.2500 0.7500 0.5000
Zr 0.5000 0.5000 0.0000
Ti 0.1376 0.6250 0.0126
Ti 0.3750 0.3876 0.5126
Ti 0.6124 0.1250 0.9874
Ti 0.8750 0.8624 0.4874

Model ii:
! YZrTi2 (PBE, relaxed); values from VASP
! Magnetization (μB per atom): 0.4943
&SYSTEM
  ibrav = 0, nat = 4, ntyp = 3
/
ATOMIC_SPECIES
Y 88.91 Y.upf
Zr 91.22 Zr.upf
Ti 47.87 Ti.upf
CELL_PARAMETERS angstrom
0.0000 3.5329 3.5329
3.5329 0.0000 3.5329
3.5329 3.5329 0.0000
ATOMIC_POSITIONS crystal
Y 0.0000 0.0000 0.0000
Zr 0.5000 0.5000 0.5000
Ti 0.2500 0.2500 0.2500
Ti 0.7500 0.7500 0.7500

Model iii:
! YZrTi2 (PBE, relaxed); values from VASP
! Magnetization (μB per atom): 0.0000
&SYSTEM
  ibrav = 0, nat = 4, ntyp = 3
/
ATOMIC_SPECIES
Y 88.91 Y.upf
Zr 91.22 Zr.upf
Ti 47.87 Ti.upf
CELL_PARAMETERS angstrom
3.6230 0.0000 0.0000
0.0000 3.6230 0.0000
0.0000 0.0000 6.7855
ATOMIC_POSITIONS crystal
Y 0.0000 0.0000 0.0000
Zr 0.0000 0.0000 0.5000
Ti 0.5000 0.5000 0.2976
Ti 0.5000 0.5000 0.7024

Which structure wins on stability? model iii wins.

Model i:
! Ti5Zn (PBE, relaxed); values from VASP
! Magnetization (μB per atom): 0.0001
&SYSTEM
  ibrav = 0, nat = 6, ntyp = 2
/
ATOMIC_SPECIES
Ti 47.87 Ti.upf
Zn 65.41 Zn.upf
CELL_PARAMETERS angstrom
2.0301 -6.0692 0.0000
2.0301 6.0692 0.0000
0.0000 0.0000 4.0495
ATOMIC_POSITIONS crystal
Ti 0.0000 0.0000 0.0000
Ti 0.1657 0.8343 0.5000
Ti 0.3326 0.6674 0.0000
Ti 0.6674 0.3326 0.0000
Ti 0.8343 0.1657 0.5000
Zn 0.5000 0.5000 0.5000

Model ii:
! Ti5Zn (PBE, relaxed); values from VASP
! Magnetization (μB per atom): 0.0000
&SYSTEM
  ibrav = 0, nat = 6, ntyp = 2
/
ATOMIC_SPECIES
Ti 47.87 Ti.upf
Zn 65.41 Zn.upf
CELL_PARAMETERS angstrom
4.9890 0.0000 0.0000
-2.4945 4.3206 0.0000
0.0000 0.0000 4.6595
ATOMIC_POSITIONS crystal
Ti 0.0000 0.6799 0.0000
Ti 0.3201 0.3201 0.0000
Ti 0.3333 0.6667 0.5000
Ti 0.6667 0.3333 0.5000
Ti 0.6799 0.0000 0.0000
Zn 0.0000 0.0000 0.5000

Which structure wins on stability? model i wins.

Model i:
! Ti3Zn4 (PBE, relaxed); values from VASP
! Magnetization (μB per atom): 0.0000
&SYSTEM
  ibrav = 0, nat = 14, ntyp = 2
/
ATOMIC_SPECIES
Ti 47.87 Ti.upf
Zn 65.41 Zn.upf
CELL_PARAMETERS angstrom
5.8566 3.3813 1.8189
-5.8566 3.3813 1.8189
0.0000 -6.7626 1.8189
ATOMIC_POSITIONS crystal
Ti 0.0647 0.7865 0.6397
Ti 0.2135 0.3603 0.9353
Ti 0.3603 0.9353 0.2135
Ti 0.6397 0.0647 0.7865
Ti 0.7865 0.6397 0.0647
Ti 0.9353 0.2135 0.3603
Zn 0.0000 0.0000 0.0000
Zn 0.1472 0.5725 0.2908
Zn 0.2908 0.1472 0.5725
Zn 0.4275 0.7092 0.8528
Zn 0.5000 0.5000 0.5000
Zn 0.5725 0.2908 0.1472
Zn 0.7092 0.8528 0.4275
Zn 0.8528 0.4275 0.7092

Model ii:
! Ti3Zn4 (PBE, relaxed); values from VASP
! Magnetization (μB per atom): 0.2803
&SYSTEM
  ibrav = 0, nat = 7, ntyp = 2
/
ATOMIC_SPECIES
Ti 47.87 Ti.upf
Zn 65.41 Zn.upf
CELL_PARAMETERS angstrom
2.1967 1.2683 6.6052
-2.1967 1.2683 6.6052
0.0000 -2.5365 6.6052
ATOMIC_POSITIONS crystal
Ti 0.0000 0.0000 0.0000
Ti 0.2878 0.2878 0.2878
Ti 0.7122 0.7122 0.7122
Zn 0.1395 0.1395 0.1395
Zn 0.4263 0.4263 0.4263
Zn 0.5737 0.5737 0.5737
Zn 0.8605 0.8605 0.8605

Which structure wins on stability? model i wins.

Model i:
! Ti3Zn5 (PBE, relaxed); values from VASP
! Magnetization (μB per atom): 0.0431
&SYSTEM
  ibrav = 0, nat = 8, ntyp = 2
/
ATOMIC_SPECIES
Ti 47.87 Ti.upf
Zn 65.41 Zn.upf
CELL_PARAMETERS angstrom
3.9356 -3.9740 0.0000
3.9356 3.9740 0.0000
0.0000 0.0000 3.9346
ATOMIC_POSITIONS crystal
Ti 0.0000 0.0000 0.0000
Ti 0.2480 0.7520 0.5000
Ti 0.7520 0.2480 0.5000
Zn 0.0000 0.5000 0.0000
Zn 0.2497 0.2497 0.5000
Zn 0.5000 0.0000 0.0000
Zn 0.5000 0.5000 0.0000
Zn 0.7503 0.7503 0.5000

Model ii:
! Ti3Zn5 (PBE, relaxed); values from VASP
! Magnetization (μB per atom): 0.0000
&SYSTEM
  ibrav = 0, nat = 8, ntyp = 2
/
ATOMIC_SPECIES
Ti 47.87 Ti.upf
Zn 65.41 Zn.upf
CELL_PARAMETERS angstrom
-2.0809 2.0809 7.0433
2.0809 -2.0809 7.0433
2.0809 2.0809 -7.0433
ATOMIC_POSITIONS crystal
Ti 0.0000 0.0000 0.0000
Ti 0.2508 0.2508 0.0000
Ti 0.7492 0.7492 0.0000
Zn 0.1216 0.6216 0.5000
Zn 0.3784 0.8784 0.5000
Zn 0.5000 0.5000 0.0000
Zn 0.6216 0.1216 0.5000
Zn 0.8784 0.3784 0.5000

Which structure wins on stability? model ii wins.

Model i:
! ZrTiZn (PBE, relaxed); values from VASP
! Magnetization (μB per atom): 0.5420
&SYSTEM
  ibrav = 0, nat = 3, ntyp = 3
/
ATOMIC_SPECIES
Zr 91.22 Zr.upf
Ti 47.87 Ti.upf
Zn 65.41 Zn.upf
CELL_PARAMETERS angstrom
4.7980 0.0000 0.0000
-2.3990 4.1552 0.0000
0.0000 0.0000 2.7613
ATOMIC_POSITIONS crystal
Zr 0.0000 0.0000 0.0000
Ti 0.6667 0.3333 0.9955
Zn 0.3333 0.6667 0.4980

Model ii:
! ZrTiZn (PBE, relaxed); values from VASP
! Magnetization (μB per atom): 0.0000
&SYSTEM
  ibrav = 0, nat = 6, ntyp = 3
/
ATOMIC_SPECIES
Zr 91.22 Zr.upf
Ti 47.87 Ti.upf
Zn 65.41 Zn.upf
CELL_PARAMETERS angstrom
3.0328 0.0000 0.0000
0.0000 3.0336 0.0000
-0.0160 0.0000 11.9741
ATOMIC_POSITIONS crystal
Zr 0.2501 0.2500 0.2383
Zr 0.7499 0.7500 0.7617
Ti 0.2504 0.2500 0.5800
Ti 0.7496 0.7500 0.4200
Zn 0.2497 0.2500 0.9348
Zn 0.7503 0.7500 0.0652

Which structure wins on stability? model ii wins.

Model i:
! Zr3TiZn (PBE, relaxed); values from VASP
! Magnetization (μB per atom): 0.0000
&SYSTEM
  ibrav = 0, nat = 5, ntyp = 3
/
ATOMIC_SPECIES
Zr 91.22 Zr.upf
Ti 47.87 Ti.upf
Zn 65.41 Zn.upf
CELL_PARAMETERS angstrom
4.9249 0.0000 0.0000
0.0000 4.9249 0.0000
0.0000 0.0000 4.9249
ATOMIC_POSITIONS crystal
Zr 0.0000 0.0000 0.5000
Zr 0.0000 0.5000 0.0000
Zr 0.5000 0.0000 0.0000
Ti 0.0000 0.0000 0.0000
Zn 0.5000 0.5000 0.5000

Model ii:
! Zr3TiZn (PBE, relaxed); values from VASP
! Magnetization (μB per atom): 0.0001
&SYSTEM
  ibrav = 0, nat = 5, ntyp = 3
/
ATOMIC_SPECIES
Zr 91.22 Zr.upf
Ti 47.87 Ti.upf
Zn 65.41 Zn.upf
CELL_PARAMETERS angstrom
4.9647 0.0000 0.0000
0.0000 4.9647 0.0000
0.0000 0.0000 4.9647
ATOMIC_POSITIONS crystal
Zr 0.0000 0.0000 0.5000
Zr 0.0000 0.5000 0.0000
Zr 0.5000 0.0000 0.0000
Ti 0.5000 0.5000 0.5000
Zn 0.0000 0.0000 0.0000

Which structure wins on stability? model ii wins.

Model i:
! Zr4TiZn (PBE, relaxed); values from VASP
! Magnetization (μB per atom): 0.0000
&SYSTEM
  ibrav = 0, nat = 6, ntyp = 3
/
ATOMIC_SPECIES
Zr 91.22 Zr.upf
Ti 47.87 Ti.upf
Zn 65.41 Zn.upf
CELL_PARAMETERS angstrom
3.1281 0.0000 0.0000
0.0000 3.1281 0.0000
0.0000 0.0000 12.7631
ATOMIC_POSITIONS crystal
Zr 0.0000 0.0000 0.1536
Zr 0.0000 0.0000 0.8464
Zr 0.5000 0.5000 0.3372
Zr 0.5000 0.5000 0.6628
Ti 0.0000 0.0000 0.5000
Zn 0.5000 0.5000 0.0000

Model ii:
! Zr4TiZn (PBE, relaxed); values from VASP
! Magnetization (μB per atom): 0.4183
&SYSTEM
  ibrav = 0, nat = 6, ntyp = 3
/
ATOMIC_SPECIES
Zr 91.22 Zr.upf
Ti 47.87 Ti.upf
Zn 65.41 Zn.upf
CELL_PARAMETERS angstrom
2.3143 -5.8655 0.0000
2.3143 5.8655 0.0000
0.0000 0.0000 4.6201
ATOMIC_POSITIONS crystal
Zr 0.1580 0.8420 0.0000
Zr 0.3404 0.6596 0.5000
Zr 0.6596 0.3404 0.5000
Zr 0.8420 0.1580 0.0000
Ti 0.0000 0.0000 0.5000
Zn 0.5000 0.5000 0.0000

Which structure wins on stability? model i wins.

Model i:
! ZrTiZn4 (PBE, relaxed); values from VASP
! Magnetization (μB per atom): 0.3786
&SYSTEM
  ibrav = 0, nat = 6, ntyp = 3
/
ATOMIC_SPECIES
Zr 91.22 Zr.upf
Ti 47.87 Ti.upf
Zn 65.41 Zn.upf
CELL_PARAMETERS angstrom
0.0000 3.6403 3.6403
3.6403 0.0000 3.6403
3.6403 3.6403 0.0000
ATOMIC_POSITIONS crystal
Zr 0.0000 0.0000 0.0000
Ti 0.2500 0.2500 0.2500
Zn 0.1256 0.6248 0.6248
Zn 0.6248 0.1256 0.6248
Zn 0.6248 0.6248 0.1256
Zn 0.6248 0.6248 0.6248

Model ii:
! ZrTiZn4 (PBE, relaxed); values from VASP
! Magnetization (μB per atom): 0.0545
&SYSTEM
  ibrav = 0, nat = 6, ntyp = 3
/
ATOMIC_SPECIES
Zr 91.22 Zr.upf
Ti 47.87 Ti.upf
Zn 65.41 Zn.upf
CELL_PARAMETERS angstrom
3.0068 0.0000 0.0000
0.0000 4.3333 0.0000
0.0000 0.0000 7.5344
ATOMIC_POSITIONS crystal
Zr 0.0000 0.0000 0.0000
Ti 0.0000 0.5000 0.5000
Zn 0.5000 0.0000 0.3395
Zn 0.5000 0.0000 0.6605
Zn 0.5000 0.5000 0.1745
Zn 0.5000 0.5000 0.8255

Which structure wins on stability? model i wins.

Model i:
! Zr2TiZn2 (PBE, relaxed); values from VASP
! Magnetization (μB per atom): 0.3560
&SYSTEM
  ibrav = 0, nat = 10, ntyp = 3
/
ATOMIC_SPECIES
Zr 91.22 Zr.upf
Ti 47.87 Ti.upf
Zn 65.41 Zn.upf
CELL_PARAMETERS angstrom
7.9765 0.0000 0.0000
0.0000 7.9765 0.0000
0.0000 0.0000 3.0758
ATOMIC_POSITIONS crystal
Zr 0.1356 0.3644 0.0000
Zr 0.3644 0.8644 0.0000
Zr 0.6356 0.1356 0.0000
Zr 0.8644 0.6356 0.0000
Ti 0.0000 0.0000 0.0000
Ti 0.5000 0.5000 0.0000
Zn 0.1653 0.6653 0.5000
Zn 0.3347 0.1653 0.5000
Zn 0.6653 0.8347 0.5000
Zn 0.8347 0.3347 0.5000

Model ii:
! Zr2TiZn2 (PBE, relaxed); values from VASP
! Magnetization (μB per atom): 0.3379
&SYSTEM
  ibrav = 0, nat = 10, ntyp = 3
/
ATOMIC_SPECIES
Zr 91.22 Zr.upf
Ti 47.87 Ti.upf
Zn 65.41 Zn.upf
CELL_PARAMETERS angstrom
7.4380 0.0000 0.0000
0.0000 7.4380 0.0000
0.0000 0.0000 3.4497
ATOMIC_POSITIONS crystal
Zr 0.1763 0.3237 0.0000
Zr 0.3237 0.8237 0.0000
Zr 0.6763 0.1763 0.0000
Zr 0.8237 0.6763 0.0000
Ti 0.0000 0.0000 0.5000
Ti 0.5000 0.5000 0.5000
Zn 0.1230 0.6230 0.5000
Zn 0.3770 0.1230 0.5000
Zn 0.6230 0.8770 0.5000
Zn 0.8770 0.3770 0.5000

Model iii:
! Zr2TiZn2 (PBE, relaxed); values from VASP
! Magnetization (μB per atom): 0.0000
&SYSTEM
  ibrav = 0, nat = 5, ntyp = 3
/
ATOMIC_SPECIES
Zr 91.22 Zr.upf
Ti 47.87 Ti.upf
Zn 65.41 Zn.upf
CELL_PARAMETERS angstrom
7.0841 -2.1217 0.0000
7.0841 2.1217 0.0000
-0.0038 0.0000 3.1205
ATOMIC_POSITIONS crystal
Zr 0.1116 0.1116 0.9998
Zr 0.8884 0.8884 0.0002
Ti 0.5000 0.5000 0.5000
Zn 0.2996 0.2996 0.5001
Zn 0.7004 0.7004 0.4999

Which structure wins on stability? model iii wins.

Model i:
! ZrTi5 (PBE, relaxed); values from VASP
! Magnetization (μB per atom): 0.0000
&SYSTEM
  ibrav = 0, nat = 6, ntyp = 2
/
ATOMIC_SPECIES
Zr 91.22 Zr.upf
Ti 47.87 Ti.upf
CELL_PARAMETERS angstrom
2.4362 -4.5686 0.0000
2.4362 4.5686 0.0000
0.0000 0.0000 4.8923
ATOMIC_POSITIONS crystal
Zr 0.0000 0.0000 0.0000
Ti 0.1857 0.8143 0.5000
Ti 0.3299 0.6701 0.0000
Ti 0.5000 0.5000 0.5000
Ti 0.6701 0.3299 0.0000
Ti 0.8143 0.1857 0.5000

Model ii:
! ZrTi5 (PBE, relaxed); values from VASP
! Magnetization (μB per atom): 0.0000
&SYSTEM
  ibrav = 0, nat = 6, ntyp = 2
/
ATOMIC_SPECIES
Zr 91.22 Zr.upf
Ti 47.87 Ti.upf
CELL_PARAMETERS angstrom
2.0789 -6.3681 0.0000
2.0789 6.3681 0.0000
0.0000 0.0000 4.1382
ATOMIC_POSITIONS crystal
Zr 0.0000 0.0000 0.0000
Ti 0.1720 0.8280 0.5000
Ti 0.3275 0.6725 0.0000
Ti 0.5000 0.5000 0.5000
Ti 0.6725 0.3275 0.0000
Ti 0.8280 0.1720 0.5000

Which structure wins on stability? model ii wins.